1.
# SiNi3Ge, relaxed, DFT PBE
# Density: 7346 kg/m³
# Energy relative to the elements, uncorrected: -185 meV per atom
data_SiNi3Ge
_cell_length_a 10.750
_cell_length_b 7.658
_cell_length_c 6.679
_cell_angle_alpha 90.00
_cell_angle_beta 114.46
_cell_angle_gamma 90.00
_symmetry_space_group_name_H-M 'C 1 2/c 1'
_symmetry_Int_Tables_number 15
loop_
_symmetry_equiv_pos_as_xyz
'x,y,z'
'-x,-y,-z'
'-x,y,-z+1/2'
'x,-y,z+1/2'
'x+1/2,y+1/2,z'
'-x+1/2,-y+1/2,-z'
'-x+1/2,y+1/2,-z+1/2'
'x+1/2,-y+1/2,z+1/2'
loop_
_atom_site_label
_atom_site_fract_x
_atom_site_fract_y
_atom_site_fract_z
Si1 0.164 0.205 0.322
Ni1 0.111 0.328 0.603
Ni2 0.154 0.332 0.016
Ni3 0.178 0.011 0.597
Ge1 0.000 0.108 0.750
Ge2 0.000 0.467 0.250

***

2.
# LiHo2PuSe4, relaxed, DFT PBE
# Density: 7800 kg/m³
# Energy relative to the elements, uncorrected: -1660 meV per atom
data_LiHo2PuSe4
_cell_length_a 7.044
_cell_length_b 4.066
_cell_length_c 7.075
_cell_angle_alpha 90.00
_cell_angle_beta 109.60
_cell_angle_gamma 90.00
_symmetry_space_group_name_H-M 'P 1 2/m 1'
_symmetry_Int_Tables_number 10
loop_
_symmetry_equiv_pos_as_xyz
'x,y,z'
'-x,-y,-z'
'-x,y,-z'
'x,-y,z'
loop_
_atom_site_label
_atom_site_fract_x
_atom_site_fract_y
_atom_site_fract_z
Li1 0.000 0.000 0.000
Ho1 0.000 0.500 0.500
Ho2 0.500 0.000 0.500
Pu1 0.500 0.500 0.000
Se1 0.243 0.000 0.748
Se2 0.243 0.500 0.250

***

3.
# V6Cr5Ni, relaxed, DFT PBE
# Density: 7010 kg/m³
# Formation energy from the elements: -98 meV/atom
data_V6Cr5Ni
_cell_length_a 4.123
_cell_length_b 5.815
_cell_length_c 12.337
_cell_angle_alpha 90.00
_cell_angle_beta 90.00
_cell_angle_gamma 90.00
_symmetry_space_group_name_H-M 'I m m m'
_symmetry_Int_Tables_number 71
_symmetry_space_group_name_Hall '-I 2 2'
loop_
_atom_site_label
_atom_site_fract_x
_atom_site_fract_y
_atom_site_fract_z
V1 0.000 0.242 0.000
V2 0.000 0.254 0.331
Cr1 0.000 0.000 0.167
Cr2 0.000 0.500 0.163
Cr3 0.000 0.500 0.500
Ni1 0.000 0.000 0.500

***

4.
# Ac5Tb2Sn4, relaxed, DFT PBE
# Density: 7621 kg/m³
# Formation energy from the elements: -236 meV/atom
data_Ac5Tb2Sn4
_cell_length_a 28.112
_cell_length_b 3.775
_cell_length_c 7.921
_cell_angle_alpha 90.00
_cell_angle_beta 91.98
_cell_angle_gamma 90.00
_symmetry_space_group_name_H-M 'C 1 2/m 1'
_symmetry_Int_Tables_number 12
loop_
_symmetry_equiv_pos_as_xyz
'x,y,z'
'-x,-y,-z'
'-x,y,-z'
'x,-y,z'
'x+1/2,y+1/2,z'
'-x+1/2,-y+1/2,-z'
'-x+1/2,y+1/2,-z'
'x+1/2,-y+1/2,z'
loop_
_atom_site_label
_atom_site_fract_x
_atom_site_fract_y
_atom_site_fract_z
Ac1 0.000 0.000 0.000
Ac2 0.136 0.500 0.841
Ac3 0.234 0.500 0.238
Tb1 0.087 0.500 0.320
Sn1 0.028 0.500 0.654
Sn2 0.166 0.000 0.500

***

The lowest density belongs to which entry? V6Cr5Ni